DFT (GGA+U) results for VGaIrO6 after structural relaxation.

```
VGaIrO6
1.0
4.972 0.000 0.000
-2.486 4.306 0.000
0.000 0.000 8.606
V Ga Ir O
2 2 2 12
direct
0.333 0.667 0.250 V
0.667 0.333 0.750 V
0.333 0.667 0.750 Ga
0.667 0.333 0.250 Ga
0.000 0.000 0.000 Ir
0.000 0.000 0.500 Ir
0.013 0.343 0.129 O
0.013 0.671 0.371 O
0.329 0.343 0.371 O
0.329 0.987 0.129 O
0.343 0.013 0.629 O
0.343 0.329 0.871 O
0.657 0.671 0.129 O
0.657 0.987 0.371 O
0.671 0.013 0.871 O
0.671 0.657 0.629 O
0.987 0.329 0.629 O
0.987 0.657 0.871 O
```

The calculation puts the raw total energy at -6.80 eV/atom. As for the crystal system: trigonal. The spin magnetization is 0.0 μB/f.u. As for the space group: P-31c, No. 163. The value obtained for the volume is 184.2 Å³/cell.